This record from Alexandria describes an optimized crystal structure of Li3Mn3P4O16. The functional is GGA+U.

a = 8.614 Å, b = 9.226 Å, c = 10.045 Å
α = 106.82°, β = 106.18°, γ = 110.84°
Fractional coordinates of all 52 atoms:
O 0.793 0.285 0.658
O 0.099 0.353 0.910
O 0.127 0.854 0.572
O 0.747 0.262 0.116
O 0.253 0.738 0.884
O 0.507 0.224 0.442
O 0.207 0.715 0.342
O 0.122 0.086 0.848
O 0.567 0.947 0.113
O 0.807 0.061 0.774
O 0.983 0.822 0.942
O 0.099 0.298 0.351
O 0.873 0.146 0.428
O 0.878 0.914 0.152
O 0.901 0.702 0.649
O 0.017 0.178 0.058
O 0.472 0.629 0.982
O 0.173 0.130 0.502
O 0.493 0.776 0.558
O 0.819 0.600 0.355
O 0.901 0.647 0.090
O 0.556 0.821 0.850
O 0.444 0.179 0.150
O 0.827 0.870 0.498
O 0.193 0.939 0.226
O 0.478 0.091 0.626
O 0.408 0.582 0.284
O 0.528 0.371 0.018
O 0.181 0.400 0.645
O 0.522 0.909 0.374
O 0.433 0.053 0.887
O 0.592 0.418 0.716
Li 0.417 0.409 0.825
Li 0.074 0.472 0.784
Li 0.583 0.591 0.175
Li 0.926 0.528 0.216
Li 0.264 0.343 0.249
Li 0.736 0.657 0.751
P 0.405 0.737 0.384
P 0.987 0.824 0.097
P 0.458 0.776 0.954
P 0.911 0.749 0.514
P 0.089 0.251 0.486
P 0.595 0.263 0.616
P 0.013 0.176 0.903
P 0.542 0.224 0.046
Mn 0.194 0.930 0.424
Mn 0.519 0.953 0.737
Mn 0.155 0.894 0.845
Mn 0.845 0.106 0.155
Mn 0.481 0.047 0.263
Mn 0.806 0.070 0.576

E_tot (eV per atom): -7.02
SG: P-1, No. 2
M_tot (μB/f.u.): 11.94